1.
VASP calculation (PBE) on crystalline NpMnSb at its relaxed geometry.

Structure (POSCAR):
```
NpMnSb
1.0
-0.906 -1.209 2.937
-0.634 -2.923 -1.400
6.007 0.472 0.190
Sb Np Mn
1 1 1
Direct
0.975 0.975 0.950
0.264 0.264 0.529
0.611 0.611 0.221
```

Output
* D(E_F): 5.392 states/eV/cell
* symmetry: No. 107
* formation energy from raw total energies: 0.102 eV per atom

=====

2.
VASP calculation (PBE) on crystalline Al3SbCl at its relaxed geometry.

Structure (POSCAR):
```
Al3SbCl
1.0
5.566 0.000 0.000
0.000 5.566 0.000
0.000 0.000 5.566
Sb Al Cl
1 3 1
Direct
0.000 0.000 0.000
0.000 0.000 0.500
0.000 0.500 0.000
0.500 0.000 0.000
0.500 0.500 0.500
```

Output
* excess energy over the best structure of this formula in the dataset: 0.111 eV/atom
* D(E_F): 2.776 states/eV/cell
* symmetry: No. 221
* formation energy from raw total energies: 0.630 eV per atom

=====

3.
VASP calculation (PBE) on crystalline Rb2BaThSe4 at its relaxed geometry.

Structure (POSCAR):
```
Rb2BaThSe4
1.0
4.542 0.000 0.000
0.000 8.411 -0.329
0.000 2.800 7.541
Rb Se Ba Th
2 4 1 1
Direct
0.000 0.000 0.000
0.500 0.000 0.500
0.500 0.700 0.292
0.000 0.706 0.729
0.500 0.300 0.708
0.000 0.294 0.271
0.500 0.500 0.000
0.000 0.500 0.500
```

Output
* D(E_F): 0.000 states/eV/cell
* symmetry: No. 10
* formation energy from raw total energies: -1.684 eV per atom

=====

4.
VASP calculation (PBE) on crystalline LiAcZn2Pd2 at its relaxed geometry.

Structure (POSCAR):
```
LiAcZn2Pd2
1.0
4.429 0.000 0.000
-2.214 3.835 0.000
0.000 0.000 7.060
Zn Ac Pd Li
2 1 2 1
Direct
0.667 0.333 0.655
0.333 0.667 0.345
0.000 0.000 0.000
0.667 0.333 0.283
0.333 0.667 0.717
0.000 0.000 0.500
```

Output
* ΔH_f (0 K): -584.9 meV/atom
* D(E_F): 2.748 states/eV/cell
* symmetry: No. 164

=====

5.
VASP calculation (PBE) on crystalline Li2PrSmTe4 at its relaxed geometry.

Structure (POSCAR):
```
Li2PrSmTe4
1.0
-2.547 3.201 -1.769
-4.207 -5.351 -3.629
-2.952 1.406 6.796
Pr Te Sm Li
1 4 1 2
Direct
0.000 0.000 0.000
0.500 0.258 0.263
0.000 0.251 0.739
0.000 0.749 0.261
0.500 0.742 0.737
0.500 0.500 0.000
0.000 0.500 0.500
0.500 0.000 0.500
```

Output
* symmetry: No. 10
* formation energy from raw total energies: -1.296 eV per atom

=====

6.
VASP calculation (PBE) on crystalline HgSbIr2 at its relaxed geometry.

Structure (POSCAR):
```
HgSbIr2
1.0
-2.573 -0.578 -3.509
0.504 -0.733 -4.298
-0.337 -5.866 -0.161
Ir Sb Hg
2 1 1
Direct
0.005 0.005 0.969
0.495 0.495 0.531
0.750 0.750 0.750
0.250 0.250 0.250
```

Output
* excess energy over the best structure of this formula in the dataset: 0.051 eV/atom
* D(E_F): 3.420 states/eV/cell
* symmetry: No. 12
* formation energy from raw total energies: 0.375 eV per atom

=====

7.
VASP calculation (PBE) on crystalline Pu2GaPb at its relaxed geometry.

Structure (POSCAR):
```
Pu2GaPb
1.0
-2.615 2.385 -3.921
-2.086 -2.871 -3.913
-5.242 -0.529 -0.383
Ga Pu Pb
1 2 1
Direct
0.500 0.500 0.500
0.250 0.250 0.250
0.750 0.750 0.750
0.000 0.000 0.000
```

Output
* excess energy over the best structure of this formula in the dataset: 0.081 eV/atom
* ΔH_f (0 K): -115.0 meV/atom
* D(E_F): 16.175 states/eV/cell
* symmetry: No. 225

=====

8.
VASP calculation (PBE) on crystalline Ac2Er3Cd2 at its relaxed geometry.

Structure (POSCAR):
```
Ac2Er3Cd2
1.0
3.704 0.000 -0.447
0.000 3.694 0.000
0.117 0.000 16.546
Er Ac Cd
3 2 2
Direct
0.000 0.000 0.000
0.431 0.500 0.862
0.569 0.500 0.138
0.303 0.500 0.607
0.697 0.500 0.393
0.875 0.000 0.749
0.125 0.000 0.251
```

Output
* ΔH_f (0 K): -96.2 meV/atom
* D(E_F): 7.741 states/eV/cell
* symmetry: No. 65